1.
Entry from Alexandria via LeMat-Bulk: a PBEsol-optimized structure of GaCoPtF2 (meta-GGA SCAN).

Unit cell a=3.5735 b=3.5735 c=6.0853 alpha=90.00 beta=90.00 gamma=90.00
Each line ends with the local moment (μB).
Sites, in units of the cell vectors:
Co  0.0000  0.0000  0.0000  2.41
Ga  0.0000  0.0000  0.5000  -0.01
Pt  0.5000  0.5000  0.5000  -0.01
F  0.0000  0.5000  0.0000  0.08
F  0.5000  0.0000  0.0000  0.08

Results
Formation energy (no corrections), kJ/mol of atoms: -88.5
Crystal system: tetragonal
VASP energy, eV per cell: -115.51

2.
Entry from Alexandria via LeMat-Bulk: a PBEsol-optimized structure of Eu2MgIn (meta-GGA SCAN).

Unit cell a=5.4972 b=5.4972 c=5.4972 alpha=60.00 beta=60.00 gamma=60.00
Each line ends with the local moment (μB).
Sites, in units of the cell vectors:
Eu  0.2500  0.2500  0.2500  6.88
Eu  0.7500  0.7500  0.7500  6.88
Mg  0.0000  0.0000  0.0000  0.00
In  0.5000  0.5000  0.5000  -0.01

Results
Formation energy, eV/atom: -0.3791
Crystal system: cubic
VASP energy, eV per cell: -147.30

3.
Entry from Alexandria via LeMat-Bulk: a PBEsol-optimized structure of LiYAg2 (meta-GGA SCAN).

Unit cell a=4.2822 b=4.2822 c=5.1578 alpha=114.53 beta=114.53 gamma=90.00
Sites, in units of the cell vectors:
Y  0.2500  0.7500  0.5000
Ag  0.0000  0.0000  0.0000
Ag  0.7500  0.2500  0.5000
Li  0.5000  0.5000  0.0000

Results
Formation energy, eV/atom: -0.2256
Crystal system: tetragonal
VASP energy, eV per cell: -93.87

4.
Entry from Alexandria via LeMat-Bulk: a PBEsol-optimized structure of KMn2P (meta-GGA SCAN).

Unit cell a=2.7428 b=2.7428 c=9.0658 alpha=81.30 beta=81.30 gamma=60.00
Each line ends with the local moment (μB).
Sites, in units of the cell vectors:
K  0.0000  0.0000  0.0000  -0.09
Mn  0.2277  0.2277  0.3168  1.13
Mn  0.7723  0.7723  0.6832  1.13
P  0.5000  0.5000  0.5000  -0.16

Results
Formation energy, eV/atom: 0.7652
Crystal system: trigonal
VASP energy, eV per cell: -52.18